Density functional theory data (PBE-GGA) for an optimized crystal structure of NdSc2Ti.

a = 4.5856 Å, b = 4.5856 Å, c = 4.6709 Å
α = 90.00°, β = 90.00°, γ = 90.00°
Fractional positions:
1 Nd 0.0000 0.0000 0.0000
2 Sc 0.0000 0.5000 0.5000
3 Sc 0.5000 0.0000 0.5000
4 Ti 0.5000 0.5000 0.0000

## Properties
energy above the lowest structure with this stoichiometry = 38.4 meV/atom

=====

Density functional theory data (PBE-GGA) for an optimized crystal structure of Ba3NdY2Te6.

a = 7.9870 Å, b = 7.9870 Å, c = 8.2849 Å
α = 99.27°, β = 99.27°, γ = 119.91°
Fractional positions:
1 Ba 0.0000 0.0000 0.0000
2 Ba 0.3362 0.6638 0.0000
3 Ba 0.6638 0.3362 0.0000
4 Nd 0.5000 0.5000 0.5000
5 Y 0.1677 0.8323 0.5000
6 Y 0.8323 0.1677 0.5000
7 Te 0.0865 0.4267 0.2805
8 Te 0.2315 0.2315 0.7165
9 Te 0.4267 0.0865 0.2805
10 Te 0.5733 0.9135 0.7195
11 Te 0.7685 0.7685 0.2835
12 Te 0.9135 0.5733 0.7195

## Properties
energy relative to the elements, uncorrected = -1.549 eV/atom

=====

Density functional theory data (PBE-GGA) for an optimized crystal structure of Sm12ErTm7.

a = 8.7455 Å, b = 8.7455 Å, c = 8.7455 Å
α = 94.32°, β = 94.32°, γ = 94.32°
Fractional positions:
1 Sm 0.1444 0.4086 0.4725
2 Sm 0.1864 0.7514 0.3199
3 Sm 0.2486 0.6801 0.8136
4 Sm 0.3199 0.1864 0.7514
5 Sm 0.4086 0.4725 0.1444
6 Sm 0.4725 0.1444 0.4086
7 Sm 0.5275 0.8556 0.5914
8 Sm 0.5914 0.5275 0.8556
9 Sm 0.6801 0.8136 0.2486
10 Sm 0.7514 0.3199 0.1864
11 Sm 0.8136 0.2486 0.6801
12 Sm 0.8556 0.5914 0.5275
13 Er 0.0000 0.0000 0.0000
14 Tm 0.0130 0.0784 0.3448
15 Tm 0.0784 0.3448 0.0130
16 Tm 0.3448 0.0130 0.0784
17 Tm 0.5000 0.5000 0.5000
18 Tm 0.6552 0.9870 0.9216
19 Tm 0.9216 0.6552 0.9870
20 Tm 0.9870 0.9216 0.6552

## Properties
energy above the lowest structure with this stoichiometry = 36.4 meV/atom

=====

Density functional theory data (PBE-GGA) for an optimized crystal structure of Nd8C3I3N.

a = 7.6450 Å, b = 7.6450 Å, c = 8.9318 Å
α = 115.30°, β = 115.30°, γ = 60.07°
Fractional positions:
1 Nd 0.2239 0.2239 0.6739
2 Nd 0.2239 0.7260 0.6740
3 Nd 0.2740 0.7761 0.3260
4 Nd 0.2755 0.2755 0.3263
5 Nd 0.7245 0.7245 0.6737
6 Nd 0.7260 0.2239 0.6740
7 Nd 0.7761 0.2740 0.3260
8 Nd 0.7761 0.7761 0.3261
9 C 0.0000 0.5000 0.5000
10 C 0.5000 0.0000 0.5000
11 C 0.5000 0.5000 0.5000
12 I 0.0000 0.0000 0.0000
13 I 0.0000 0.5000 0.0000
14 I 0.5000 0.0000 0.0000
15 N 0.0000 0.0000 0.5000

## Properties
energy relative to the elements, uncorrected = -0.690 eV/atom

=====

Number 1: M_tot 0.239 μB per cell, DOS at the Fermi energy 1.657 states/eV per atom, total energy -6.14 eV per atom. Number 2: M_tot 0.000 μB per cell, DOS at the Fermi energy 0.466 states/eV per atom, total energy -5.08 eV per atom. Number 3: M_tot 0.000 μB per cell, DOS at the Fermi energy 1.090 states/eV per atom, total energy -4.34 eV per atom. Number 4: M_tot 1.145 μB per cell, DOS at the Fermi energy 0.561 states/eV per atom, total energy -5.94 eV per atom.